# 1
First-principles (GGA-PBE) data for a relaxed structure of NdLuPd, as listed in Alexandria via LeMat-Bulk.

- Energy relative to the lowest polymorph listed for this composition: 3.08 kcal/mol of atoms
- Theoretical density: 9.1 g/cm3
- Uncorrected energy: -5.238 eV per atom
- Space group: P3m1 (156)
- ΔH_f (0 K): -0.41 eV/atom
- Total magnetic moment: 0.000 μB per atom

Unit cell a=3.991 b=4.752 c=4.752 alpha=120.00 beta=90.00 gamma=90.00
Sites, in units of the cell vectors:
1 Nd 0.631 0.667 0.333
2 Lu 0.114 0.000 0.000
3 Pd 0.255 0.333 0.667

---

# 2
First-principles (GGA-PBE) data for a relaxed structure of AgAsSe2, as listed in Alexandria via LeMat-Bulk.

- Theoretical density: 6.9 g/cm3
- Formation energy without anion corrections: 305 meV/atom
- Uncorrected energy: -3.313 eV per atom
- Space group: R-3m (166)
- Total magnetic moment: 0.000 μB per atom

Unit cell a=10.775 b=10.775 c=10.775 alpha=15.90 beta=15.90 gamma=15.90
Sites, in units of the cell vectors:
1 As 0.000 0.000 0.000
2 Se 0.913 0.913 0.913
3 Se 0.087 0.087 0.087
4 Ag 0.500 0.500 0.500

---

# 3
First-principles (GGA-PBE) data for a relaxed structure of TlTeRh2, as listed in Alexandria via LeMat-Bulk.

- Energy relative to the lowest polymorph listed for this composition: 0.96 kcal/mol of atoms
- Theoretical density: 11.4 g/cm3
- Formation energy without anion corrections: 27 meV/atom
- Uncorrected energy: -5.026 eV per atom
- Space group: Pmm2 (25)
- Total magnetic moment: 0.000 μB per atom

Unit cell a=5.136 b=3.322 c=4.606 alpha=89.98 beta=90.00 gamma=90.00
Sites, in units of the cell vectors:
1 Te 0.000 0.625 0.551
2 Rh 0.500 0.625 0.738
3 Rh 0.000 0.125 0.981
4 Tl 0.500 0.125 0.230

---

# 4
First-principles (GGA-PBE) data for a relaxed structure of La4HoTm3Se8, as listed in Alexandria via LeMat-Bulk.

- Theoretical density: 7.5 g/cm3
- Formation energy without anion corrections: -1847 meV/atom
- Uncorrected energy: -5.946 eV per atom
- Space group: R-3m (166)
- Total magnetic moment: 0.000 μB per atom

Unit cell a=8.212 b=8.472 c=8.214 alpha=119.01 beta=119.99 gamma=90.00
Sites, in units of the cell vectors:
1 Se 0.243 0.726 0.983
2 Se 0.757 0.274 0.514
3 Se 0.260 0.274 0.017
4 Se 0.741 0.724 0.483
5 Se 0.757 0.274 0.017
6 Se 0.740 0.726 0.983
7 Se 0.259 0.276 0.517
8 Se 0.243 0.726 0.486
9 Tm 0.500 0.500 0.500
10 Tm 0.500 0.500 0.000
11 Tm 0.000 0.500 0.500
12 Ho 0.000 0.500 0.000
13 La 0.500 0.000 0.000
14 La 0.500 0.000 0.500
15 La 0.000 0.000 0.000
16 La 0.000 0.000 0.500

---

# 5
First-principles (GGA-PBE) data for a relaxed structure of Pm3Sm5Tm2, as listed in Alexandria via LeMat-Bulk.

- Energy relative to the lowest polymorph listed for this composition: 4.35 kcal/mol of atoms
- Theoretical density: 7.1 g/cm3
- Uncorrected energy: -4.305 eV per atom
- Space group: Ibam (72)
- ΔH_f (0 K): 0.37 eV/atom
- Total magnetic moment: 0.000 μB per atom

Unit cell a=11.065 b=9.990 c=9.990 alpha=56.49 beta=56.37 gamma=56.37
Sites, in units of the cell vectors:
1 Pm 0.373 0.378 0.875
2 Pm 0.250 0.000 0.000
3 Pm 0.750 0.000 0.000
4 Pm 0.127 0.125 0.622
5 Pm 0.627 0.622 0.125
6 Pm 0.873 0.875 0.378
7 Sm 0.379 0.722 0.520
8 Sm 0.250 0.500 0.500
9 Sm 0.750 0.500 0.500
10 Sm 0.000 0.250 0.250
11 Sm 0.121 0.480 0.278
12 Sm 0.879 0.520 0.722
13 Sm 0.500 0.750 0.750
14 Sm 0.000 0.750 0.750
15 Sm 0.500 0.250 0.250
16 Sm 0.621 0.278 0.480
17 Tm 0.626 0.959 0.790
18 Tm 0.874 0.210 0.041
19 Tm 0.374 0.041 0.210
20 Tm 0.126 0.790 0.959

---

# 6
First-principles (GGA-PBE) data for a relaxed structure of RbNpMnN3, as listed in Alexandria via LeMat-Bulk.

- Theoretical density: 6.3 g/cm3
- Formation energy without anion corrections: -611 meV/atom
- Uncorrected energy: -8.620 eV per atom
- Space group: P2_1/m (11)
- Total magnetic moment: 0.676 μB per atom

Unit cell a=3.505 b=8.089 c=8.229 alpha=108.27 beta=90.00 gamma=90.00
Site moments in Bohr magnetons follow the coordinates.
Sites, in units of the cell vectors:
1 Rb 0.250 0.210 0.229  0.00
2 Rb 0.750 0.790 0.771  0.00
3 N 0.750 0.833 0.164  -0.10
4 N 0.750 0.155 0.559  -0.08
5 N 0.750 0.484 0.127  -0.14
6 N 0.250 0.516 0.873  -0.14
7 N 0.250 0.845 0.441  -0.08
8 N 0.250 0.167 0.836  -0.10
9 Np 0.750 0.340 0.845  2.29
10 Np 0.250 0.660 0.155  2.29
11 Mn 0.750 0.925 0.401  1.94
12 Mn 0.250 0.075 0.599  1.94

---

# 7
First-principles (GGA-PBE) data for a relaxed structure of DyTm12Sc6, as listed in Alexandria via LeMat-Bulk.

- Energy relative to the lowest polymorph listed for this composition: 4.51 kcal/mol of atoms
- Theoretical density: 6.9 g/cm3
- Uncorrected energy: -4.628 eV per atom
- Space group: R-3m (166)
- ΔH_f (0 K): 0.44 eV/atom
- Total magnetic moment: 0.000 μB per atom

Unit cell a=8.949 b=8.949 c=8.949 alpha=107.54 beta=107.54 gamma=107.54
Sites, in units of the cell vectors:
1 Tm 0.632 0.858 0.632
2 Tm 0.888 0.112 0.500
3 Tm 0.112 0.888 0.500
4 Tm 0.858 0.632 0.632
5 Tm 0.142 0.368 0.368
6 Tm 0.368 0.368 0.142
7 Tm 0.632 0.632 0.858
8 Tm 0.500 0.888 0.112
9 Tm 0.368 0.142 0.368
10 Tm 0.500 0.112 0.888
11 Tm 0.888 0.500 0.112
12 Tm 0.112 0.500 0.888
13 Sc 0.311 0.311 0.723
14 Sc 0.723 0.311 0.311
15 Sc 0.277 0.689 0.689
16 Sc 0.311 0.723 0.311
17 Sc 0.689 0.277 0.689
18 Sc 0.689 0.689 0.277
19 Dy 0.000 0.000 0.000

---

# 8
First-principles (GGA-PBE) data for a relaxed structure of Er2Sc2Te2C, as listed in Alexandria via LeMat-Bulk.

- Theoretical density: 7.2 g/cm3
- Formation energy without anion corrections: -830 meV/atom
- Uncorrected energy: -6.158 eV per atom
- Space group: C2/m (12)
- Total magnetic moment: 0.006 μB per atom

Unit cell a=3.796 b=6.960 c=6.822 alpha=68.06 beta=90.03 gamma=74.18
Sites, in units of the cell vectors:
1 Er 0.502 0.996 0.237
2 Er 0.498 0.004 0.763
3 Sc 0.181 0.638 0.102
4 Sc 0.819 0.362 0.898
5 C 0.000 0.000 0.000
6 Te 0.847 0.307 0.375
7 Te 0.153 0.693 0.625

---

# 9
First-principles (GGA-PBE) data for a relaxed structure of MnInW2, as listed in Alexandria via LeMat-Bulk.

- Theoretical density: 13.7 g/cm3
- Uncorrected energy: -9.006 eV per atom
- Space group: Cmmm (65)
- ΔH_f (0 K): 0.45 eV/atom
- Total magnetic moment: 0.394 μB per atom

Unit cell a=2.795 b=2.795 c=8.799 alpha=90.00 beta=90.00 gamma=108.90
Site moments in Bohr magnetons follow the coordinates.
Sites, in units of the cell vectors:
1 W 0.000 0.000 0.526  -0.14
2 W 0.000 0.000 0.974  -0.14
3 In 0.500 0.500 0.250  0.01
4 Mn 0.500 0.500 0.750  1.82

---

# 10
First-principles (GGA-PBE) data for a relaxed structure of K2BaMg, as listed in Alexandria via LeMat-Bulk.

- Energy relative to the lowest polymorph listed for this composition: 3.04 kcal/mol of atoms
- Theoretical density: 1.8 g/cm3
- Uncorrected energy: -1.232 eV per atom
- Space group: Cmmm (65)
- ΔH_f (0 K): 0.20 eV/atom
- Total magnetic moment: 0.000 μB per atom

Unit cell a=4.302 b=4.302 c=11.964 alpha=90.00 beta=90.00 gamma=90.16
Sites, in units of the cell vectors:
1 Mg 0.500 0.500 0.250
2 K 0.000 0.000 0.451
3 K 0.000 0.000 0.049
4 Ba 0.500 0.500 0.750

---

# 11
First-principles (GGA-PBE) data for a relaxed structure of NdLuInCu, as listed in Alexandria via LeMat-Bulk.

- Theoretical density: 8.3 g/cm3
- Uncorrected energy: -4.308 eV per atom
- Space group: F-43m (216)
- ΔH_f (0 K): -0.28 eV/atom
- Total magnetic moment: 0.000 μB per atom

Unit cell a=5.200 b=5.200 c=5.200 alpha=60.00 beta=60.00 gamma=60.00
Sites, in units of the cell vectors:
1 Nd 0.500 0.500 0.500
2 In 0.250 0.250 0.250
3 Lu 0.000 0.000 0.000
4 Cu 0.750 0.750 0.750